Computed, not measured: CaLaFeSbO6 after structural relaxation at the GGA+U level of DFT.

Summary:
As for the energy: -139.89 eV for the cell shown. The space group is P1, No. 1. The calculated volume is 13.0 Å³/atom. The calculation puts the size of the total moment at 4.0 μB per formula unit.

Cell: 5.5983 5.7659 8.0754 Å, 90.35 90.48 91.42°
Fractional coordinates of all 20 atoms:
Ca: 0.0000 0.0000 0.0000
Ca: 0.4911 0.3936 0.4965
La: 0.0197 0.8980 0.4946
La: 0.5305 0.4958 0.9957
Fe: 0.0121 0.4459 0.2475
Fe: 0.5125 0.9476 0.7466
Sb: 0.0130 0.4449 0.7458
Sb: 0.5098 0.9490 0.2452
O: 0.1115 0.4074 0.9849
O: 0.2057 0.1670 0.6874
O: 0.2246 0.1408 0.2945
O: 0.3060 0.6452 0.6962
O: 0.3166 0.6564 0.3000
O: 0.4085 0.9136 0.0072
O: 0.6061 0.9849 0.4847
O: 0.7073 0.2380 0.1948
O: 0.7234 0.2426 0.7966
O: 0.7978 0.7577 0.1970
O: 0.8250 0.7278 0.8059
O: 0.9060 0.4808 0.5087